VASP calculation (PBE with a Hubbard U) on crystalline Ba2RuWO6 at its relaxed geometry.

Cell and atoms, written as POSCAR:
```
Ba2RuWO6
1.0
-2.246 0.128 -5.342
-0.182 -5.794 -0.062
-7.554 0.203 3.181
W O Ba Ru
2 12 4 2
Cartesian
-0.137 -4.346 -0.047
-4.946 -1.282 -1.096
-4.449 -2.707 0.174
-1.954 -4.297 0.719
-5.530 -2.646 -2.396
-0.633 -2.921 -1.317
-3.128 -1.331 -1.861
-0.721 -5.709 -1.347
-6.763 -1.233 -0.331
-5.873 -4.192 2.369
-1.798 -2.855 -4.088
-4.361 0.081 0.204
-1.886 -5.643 -4.118
-5.442 0.142 -2.367
-1.934 -1.398 0.780
-5.711 -1.297 2.370
-3.148 -4.230 -1.922
-6.925 -4.129 -0.332
-3.914 -4.244 1.544
-1.168 -1.385 -2.687
```

total energy = -7.125 eV/atom
symmetry = Fm-3m, No. 225
total magnetization = 0.0000 μB/atom